Material: Ac2MnBeO6
Method: DFT, PBE with a Hubbard U
State: optimized geometry

* total DFT energy (no corrections): -7.544 eV per atom
* symmetry: Pmmn
* V: 238 Å³ per cell
* crystal system: orthorhombic

abc: 5.5594 5.7421 7.4508
angles: 90.00 90.00 90.00
Last column: magnetic moment on the atom in μB.
Element x y z (fractional)
Ac (0.5000, 0.7693, 0.2536)  0.01
Ac (0.0000, 0.2307, 0.7536)  0.01
Ac (0.5000, 0.7693, 0.7464)  0.01
Ac (0.0000, 0.2307, 0.2464)  0.01
Mn (0.5000, 0.2628, 0.5000)  3.08
Mn (0.0000, 0.7372, 0.0000)  3.08
Be (0.0000, 0.6589, 0.5000)  -0.01
Be (0.5000, 0.3411, 0.0000)  -0.01
O (0.5000, 0.2546, 0.2353)  -0.02
O (0.5000, 0.2546, 0.7647)  -0.02
O (0.0000, 0.7454, 0.2647)  -0.02
O (0.0000, 0.7454, 0.7353)  -0.02
O (0.2641, 0.0304, 0.5000)  -0.05
O (0.7359, 0.0304, 0.5000)  -0.05
O (0.2486, 0.5054, 0.5000)  0.00
O (0.7514, 0.5054, 0.5000)  0.00
O (0.7486, 0.4946, 0.0000)  0.00
O (0.2514, 0.4946, 0.0000)  0.00
O (0.2359, 0.9696, 0.0000)  -0.05
O (0.7641, 0.9696, 0.0000)  -0.05